First-principles (PBE) data for crystalline NpZn at its relaxed geometry, as listed in the Alexandria database.

The value obtained for the total magnetization is 0.00 μB/f.u. As for the calculated formation energy: 14 kJ/mol of formula units.

It has space group P2_1/m (No. 11), with a = 3.0151 Å, b = 3.7483 Å, c = 6.3994 Å, α = 90.00°, β = 94.16° and γ = 90.00°. Symmetry generates all atoms from Np at (0.1711, 0.2500, 0.0924) and Zn at (0.2638, 0.2500, 0.5971).